# NaSr2Pt, optimized geometry, DFT PBE
data_NaSr2Pt
_symmetry_space_group_name_H-M 'P 1'
_symmetry_Int_Tables_number 1
_cell_length_a 11.268
_cell_length_b 11.268
_cell_length_c 11.268
_cell_angle_alpha 22.10
_cell_angle_beta 22.10
_cell_angle_gamma 22.10
loop_
_symmetry_equiv_pos_as_xyz
'x,y,z'
loop_
_atom_site_label
_atom_site_fract_x
_atom_site_fract_y
_atom_site_fract_z
Na1 0.000 0.000 0.000
Sr1 0.117 0.117 0.117
Sr2 0.883 0.883 0.883
Pt1 0.500 0.500 0.500
# Energy in eV/atom: -3.063
# Crystal system: trigonal
# Calculated formation energy in eV/atom: -0.3824
# Density of states at the Fermi level in states/eV per cell: 3.04